Entry 1:
Nd3SmTm2Se6: relaxed, GGA-PBE.

a = 7.138 Å, b = 7.138 Å, c = 7.292 Å
α = 99.37°, β = 99.37°, γ = 120.22°
Fractional positions:
Tm1 0.334 0.666 0.000
Nd1 0.160 0.840 0.500
Se1 0.266 0.266 0.769
Se2 0.578 0.922 0.764
Se3 0.734 0.734 0.231
Se4 0.422 0.078 0.236
Sm1 0.000 0.000 0.000
Tm2 0.666 0.334 0.000
Nd2 0.840 0.160 0.500
Se5 0.078 0.422 0.236
Se6 0.922 0.578 0.764
Nd3 0.500 0.500 0.500

Total magnetic moment (μB per atom): 0.000
E_form (uncorrected) (eV/atom): -1.783
SG: C2/m (12)

Entry 2:
NdSm2TmSe6: relaxed, GGA-PBE.

a = 7.343 Å, b = 7.343 Å, c = 7.800 Å
α = 61.92°, β = 61.92°, γ = 60.00°
Fractional positions:
Tm1 0.819 0.819 0.542
Se1 0.430 0.717 0.751
Se2 0.102 0.430 0.751
Se3 0.212 0.912 0.256
Sm1 0.018 0.018 0.945
Sm2 0.515 0.515 0.455
Se4 0.912 0.620 0.256
Se5 0.620 0.212 0.256
Se6 0.717 0.102 0.751
Nd1 0.315 0.315 0.055

Total magnetic moment (μB per atom): 0.000
E_form (uncorrected) (eV/atom): -1.837
SG: R3 (146)

Entry 3:
NdSm2Tm3Se6: relaxed, GGA-PBE.

a = 4.051 Å, b = 8.335 Å, c = 9.244 Å
α = 104.99°, β = 102.66°, γ = 90.00°
Fractional positions:
Tm1 0.500 0.500 0.000
Tm2 0.166 0.833 0.331
Sm1 0.166 0.332 0.332
Se1 0.672 0.075 0.343
Se2 0.336 0.408 0.673
Tm3 0.834 0.167 0.669
Se3 0.003 0.738 0.006
Se4 0.328 0.925 0.657
Se5 0.997 0.262 0.994
Se6 0.664 0.592 0.327
Nd1 0.500 0.000 0.000
Sm2 0.834 0.668 0.668

Total magnetic moment (μB per atom): 0.000
E_form (uncorrected) (eV/atom): -1.750
SG: C2/m (12)

Entry 4:
NdSm2TmSe4: relaxed, GGA-PBE.

a = 4.087 Å, b = 7.167 Å, c = 7.292 Å
α = 71.30°, β = 90.00°, γ = 90.00°
Fractional positions:
Se1 0.500 0.259 0.738
Se2 0.000 0.748 0.741
Se3 0.000 0.252 0.259
Se4 0.500 0.741 0.262
Sm1 0.500 0.000 0.500
Tm1 0.000 0.500 0.500
Sm2 0.000 0.000 0.000
Nd1 0.500 0.500 0.000

Total magnetic moment (μB per atom): 0.000
E_form (uncorrected) (eV/atom): -1.777
SG: P2/m (10)

Entry 5:
NdSmTm2Se6: relaxed, GGA-PBE.

a = 7.277 Å, b = 7.277 Å, c = 7.712 Å
α = 61.85°, β = 61.85°, γ = 60.00°
Fractional positions:
Se1 0.231 0.899 0.245
Tm1 0.012 0.012 0.964
Se2 0.899 0.625 0.245
Se3 0.131 0.393 0.745
Sm1 0.314 0.314 0.057
Se4 0.625 0.231 0.245
Se5 0.393 0.731 0.745
Se6 0.731 0.131 0.745
Tm2 0.513 0.513 0.460
Nd1 0.812 0.812 0.564

Total magnetic moment (μB per atom): 0.000
E_form (uncorrected) (eV/atom): -1.838
SG: R3 (146)

Entry 6:
Nd3Sm4TmSe8: relaxed, GGA-PBE.

a = 8.369 Å, b = 8.344 Å, c = 8.367 Å
α = 120.07°, β = 120.01°, γ = 90.00°
Fractional positions:
Nd1 0.500 0.500 0.500
Se1 0.248 0.245 0.496
Se2 0.752 0.755 0.504
Se3 0.244 0.748 0.003
Nd2 0.500 0.500 0.000
Tm1 0.000 0.500 0.000
Sm1 0.500 0.000 0.000
Se4 0.244 0.748 0.488
Se5 0.756 0.252 0.512
Sm2 0.000 0.000 0.000
Sm3 0.000 0.000 0.500
Sm4 0.500 0.000 0.500
Se6 0.756 0.252 0.997
Nd3 0.000 0.500 0.500
Se7 0.241 0.252 0.997
Se8 0.759 0.748 0.003

Total magnetic moment (μB per atom): 0.000
E_form (uncorrected) (eV/atom): -1.796
SG: R-3m (166)